1.
La4CdGa: relaxed, GGA-PBE.

Unit cell a=5.176 b=5.176 c=8.896 alpha=105.35 beta=105.35 gamma=61.81
Positions (direct):
La 0.119 0.119 0.361
La 0.296 0.296 0.861
La 0.704 0.704 0.139
La 0.881 0.881 0.639
Cd 0.500 0.500 0.500
Ga 0.000 0.000 0.000

Formation enthalpy at 0 K (kcal/mol of atoms): -3.86
Energy above the most stable polymorph in this dataset (eV/atom): 0.110
Volume (Å³ per cell): 199.8
DOS(E_F) (states/eV per atom): 1.330
Space group: C2/m


2.
LaCdGa4: relaxed, GGA-PBE.

Unit cell a=5.684 b=5.684 c=5.684 alpha=60.00 beta=60.00 gamma=60.00
Positions (direct):
La 0.000 0.000 0.000
Cd 0.750 0.750 0.750
Ga 0.375 0.375 0.375
Ga 0.375 0.375 0.876
Ga 0.375 0.876 0.375
Ga 0.876 0.375 0.375

Formation enthalpy at 0 K (kcal/mol of atoms): -5.57
Energy above the most stable polymorph in this dataset (eV/atom): 0.041
Volume (Å³ per cell): 129.8
DOS(E_F) (states/eV per atom): 0.818
Space group: F-43m


3.
La4CdGa3: relaxed, GGA-PBE.

Unit cell a=10.772 b=7.659 c=5.386 alpha=90.00 beta=90.00 gamma=90.00
Positions (direct):
La 0.000 0.242 0.000
La 0.000 0.758 0.000
La 0.250 0.242 0.497
La 0.250 0.758 0.497
La 0.500 0.242 0.000
La 0.500 0.758 0.000
La 0.750 0.242 0.503
La 0.750 0.758 0.503
Cd 0.000 0.500 0.500
Cd 0.500 0.500 0.500
Ga 0.000 0.000 0.500
Ga 0.250 0.000 0.996
Ga 0.250 0.500 0.997
Ga 0.500 0.000 0.500
Ga 0.750 0.000 0.004
Ga 0.750 0.500 0.003

Formation enthalpy at 0 K (kcal/mol of atoms): -11.62
Volume (Å³ per cell): 444.4
DOS(E_F) (states/eV per atom): 0.997
Space group: Pmma


Which value of volume does entry 3 give?
444.4 Å³ per cell